1.
Here is a geometry-optimized Sr3AlCr structure from the Alexandria database. Energies are from GGA-PBEsol.

abc: 6.1315 6.1315 6.1315
angles: 90.00 90.00 90.00
Site moments in Bohr magnetons follow the coordinates.
Positions (direct):
Sr: 0.0000 0.5000 0.0000  0.00
Sr: 0.0000 0.0000 0.5000  0.00
Sr: 0.5000 0.0000 0.0000  0.00
Al: 0.0000 0.0000 0.0000  -0.03
Cr: 0.5000 0.5000 0.5000  4.22

calculated density	2462	kg/m³
final energy	-3.233	eV per atom
space group	Pm-3m, No. 221



2.
Here is a geometry-optimized SrAlCr structure from the Alexandria database. Energies are from GGA-PBEsol.

abc: 4.9217 4.9217 4.9217
angles: 60.00 60.00 60.00
Site moments in Bohr magnetons follow the coordinates.
Positions (direct):
Sr: 0.5000 0.5000 0.5000  -0.06
Al: 0.2500 0.2500 0.2500  -0.13
Cr: 0.0000 0.0000 0.0000  3.71

calculated density	3282	kg/m³
final energy	-4.600	eV per atom
space group	F-43m, No. 216



3.
Here is a geometry-optimized Ta2AlCr structure from the Alexandria database. Energies are from GGA-PBEsol.

abc: 3.7737 3.7737 5.1014
angles: 111.71 111.71 90.00
Positions (direct):
Cr: 0.2500 0.7500 0.5000
Al: 0.5000 0.5000 0.0000
Ta: 0.0000 0.0000 0.0000
Ta: 0.7500 0.2500 0.5000

calculated density	11824	kg/m³
final energy	-9.791	eV per atom
space group	I-4m2, No. 119



4.
Here is a geometry-optimized TaAlCr4 structure from the Alexandria database. Energies are from GGA-PBEsol.

abc: 4.7787 4.7787 4.7787
angles: 60.00 60.00 60.00
Positions (direct):
Cr: 0.6259 0.6259 0.1222
Cr: 0.1222 0.6259 0.6259
Cr: 0.6259 0.1222 0.6259
Cr: 0.6259 0.6259 0.6259
Al: 0.0000 0.0000 0.0000
Ta: 0.2500 0.2500 0.2500

calculated density	8950	kg/m³
final energy	-9.710	eV per atom
space group	F-43m, No. 216